# TcAgSeBr2 | Alexandria | GGA-PBE | relaxed
# Polymorph energy (0 for the lowest one) in meV/atom: 0
# Crystal system: tetragonal
# Energy in eV/atom: -3.747
# M_tot in μB per formula unit: 0.7
# DOS at the Fermi energy in states/eV/cell: 3.1
data_TcAgSeBr2
_chemical_formula_sum 'Tc1 Ag1 Se1 Br2'
_cell_length_a 5.3097
_cell_length_b 5.3097
_cell_length_c 4.6793
_cell_angle_alpha 90.00
_cell_angle_beta 90.00
_cell_angle_gamma 90.00
_symmetry_space_group_name_H-M 'P 4/m m m'
_symmetry_Int_Tables_number 123
_symmetry_space_group_name_Hall '-P 4 2'
loop_
_atom_site_label
_atom_site_type_symbol
_atom_site_fract_x
_atom_site_fract_y
_atom_site_fract_z
Tc1 Tc 0.0000 0.0000 0.0000
Ag1 Ag 0.5000 0.5000 0.5000
Se1 Se 0.0000 0.0000 0.5000
Br1 Br 0.0000 0.5000 0.0000